Entry 1:
# Pm2Y3Er6, relaxed, DFT PBE-GGA
# Energy relative to the lowest polymorph listed for this composition   0.000 eV per atom
data_Pm2Y3Er6
_chemical_formula_sum 'Pm4 Y6 Er12'
_space_group_name_H-M_alt 'C 1 2/m 1'
_space_group_IT_number 12
_cell_length_a 6.095
_cell_length_b 10.577
_cell_length_c 11.648
_cell_angle_alpha 90.00
_cell_angle_beta 100.15
_cell_angle_gamma 90.00
loop_
_space_group_symop_operation_xyz
'x,y,z'
'-x,-y,-z'
'-x,y,-z'
'x,-y,z'
'x+1/2,y+1/2,z'
'-x+1/2,-y+1/2,-z'
'-x+1/2,y+1/2,-z'
'x+1/2,-y+1/2,z'
loop_
_atom_site_label
_atom_site_fract_x
_atom_site_fract_y
_atom_site_fract_z
_atom_site_occupancy
Pm1 0.000 0.166 0.000 1
Y1 0.000 0.000 0.500 1
Y2 0.000 0.335 0.500 1
Er1 0.250 0.000 0.251 1
Er2 0.250 0.167 0.749 1

***

Entry 2:
Computed, not measured: a relaxed structure of Pm2Y3Er8 at the PBE-GGA level of DFT.

The structure in CIF format:
```
data_Pm2Y3Er8
_chemical_formula_sum 'Pm4 Y6 Er16'
_space_group_name_H-M_alt 'C 1 2/m 1'
_space_group_IT_number 12
_cell_length_a 20.651
_cell_length_b 7.564
_cell_length_c 5.534
_cell_angle_alpha 90.00
_cell_angle_beta 90.02
_cell_angle_gamma 90.00
loop_
_space_group_symop_operation_xyz
'x,y,z'
'-x,-y,-z'
'-x,y,-z'
'x,-y,z'
'x+1/2,y+1/2,z'
'-x+1/2,-y+1/2,-z'
'-x+1/2,y+1/2,-z'
'x+1/2,-y+1/2,z'
loop_
_atom_site_label
_atom_site_fract_x
_atom_site_fract_y
_atom_site_fract_z
_atom_site_occupancy
Pm1 0.241 0.000 0.499 1
Y1 0.000 0.000 0.500 1
Y2 0.000 0.285 0.000 1
Er1 0.108 0.287 0.500 1
Er2 0.130 0.000 0.000 1
Er3 0.163 0.500 0.000 1
```

***

Entry 3:
# Pm7YEr12, relaxed, DFT PBE-GGA
# Energy relative to the lowest polymorph listed for this composition   0.429 eV per atom
data_Pm7YEr12
_chemical_formula_sum 'Pm14 Y2 Er24'
_space_group_name_H-M_alt 'I m -3 m'
_space_group_IT_number 229
_space_group_name_Hall '-I 4 2 3'
_cell_length_a 11.226
_cell_length_b 11.226
_cell_length_c 11.226
_cell_angle_alpha 90.00
_cell_angle_beta 90.00
_cell_angle_gamma 90.00
loop_
_atom_site_label
_atom_site_fract_x
_atom_site_fract_y
_atom_site_fract_z
_atom_site_occupancy
Pm1 0.000 0.000 0.500 1
Pm2 0.250 0.250 0.250 1
Y1 0.000 0.000 0.000 1
Er1 0.000 0.248 0.248 1

***

Entry 4:
# Pm3Y2Er4, relaxed, DFT PBE-GGA
# Energy relative to the lowest polymorph listed for this composition   0.106 eV per atom
data_Pm3Y2Er4
_chemical_formula_sum 'Pm6 Y4 Er8'
_space_group_name_H-M_alt 'C 1 2/m 1'
_space_group_IT_number 12
_cell_length_a 10.875
_cell_length_b 5.095
_cell_length_c 11.131
_cell_angle_alpha 90.00
_cell_angle_beta 101.08
_cell_angle_gamma 90.00
loop_
_space_group_symop_operation_xyz
'x,y,z'
'-x,-y,-z'
'-x,y,-z'
'x,-y,z'
'x+1/2,y+1/2,z'
'-x+1/2,-y+1/2,-z'
'-x+1/2,y+1/2,-z'
'x+1/2,-y+1/2,z'
loop_
_atom_site_label
_atom_site_fract_x
_atom_site_fract_y
_atom_site_fract_z
_atom_site_occupancy
Pm1 0.000 0.000 0.000 1
Pm2 0.057 0.500 0.757 1
Y1 0.164 0.000 0.579 1
Er1 0.145 0.000 0.279 1
Er2 0.219 0.500 0.101 1

***

Entry 5:
Computed, not measured: a relaxed structure of Pm3Y12Er at the PBE-GGA level of DFT.

The structure in CIF format:
```
data_Pm3Y12Er
_chemical_formula_sum 'Pm3 Y12 Er1'
_space_group_name_H-M_alt 'P 4/m m m'
_space_group_IT_number 123
_space_group_name_Hall '-P 4 2'
_cell_length_a 5.065
_cell_length_b 5.065
_cell_length_c 20.272
_cell_angle_alpha 90.00
_cell_angle_beta 90.00
_cell_angle_gamma 90.00
loop_
_atom_site_label
_atom_site_fract_x
_atom_site_fract_y
_atom_site_fract_z
_atom_site_occupancy
Pm1 0.000 0.000 0.000 1
Pm2 0.000 0.000 0.251 1
Y1 0.000 0.500 0.126 1
Y2 0.000 0.500 0.377 1
Y3 0.500 0.500 0.000 1
Y4 0.500 0.500 0.251 1
Y5 0.500 0.500 0.500 1
Er1 0.000 0.000 0.500 1
```

***

Entry 6:
# Pm2Y8Er3, relaxed, DFT PBE-GGA
# Energy relative to the lowest polymorph listed for this composition   0.096 eV per atom
data_Pm2Y8Er3
_chemical_formula_sum 'Pm4 Y16 Er6'
_space_group_name_H-M_alt 'C 1 2/m 1'
_space_group_IT_number 12
_cell_length_a 20.630
_cell_length_b 7.605
_cell_length_c 5.601
_cell_angle_alpha 90.00
_cell_angle_beta 90.01
_cell_angle_gamma 90.00
loop_
_space_group_symop_operation_xyz
'x,y,z'
'-x,-y,-z'
'-x,y,-z'
'x,-y,z'
'x+1/2,y+1/2,z'
'-x+1/2,-y+1/2,-z'
'-x+1/2,y+1/2,-z'
'x+1/2,-y+1/2,z'
loop_
_atom_site_label
_atom_site_fract_x
_atom_site_fract_y
_atom_site_fract_z
_atom_site_occupancy
Pm1 0.241 0.000 0.499 1
Y1 0.106 0.287 0.500 1
Y2 0.131 0.000 0.000 1
Y3 0.165 0.500 0.000 1
Er1 0.000 0.000 0.500 1
Er2 0.000 0.283 0.000 1

***

Entry 7:
# Pm3YEr6, relaxed, DFT PBE-GGA
# Energy relative to the lowest polymorph listed for this composition   0.090 eV per atom
data_Pm3YEr6
_chemical_formula_sum 'Pm3 Y1 Er6'
_space_group_name_H-M_alt 'P -1'
_space_group_IT_number 2
_cell_length_a 6.041
_cell_length_b 6.259
_cell_length_c 8.957
_cell_angle_alpha 92.12
_cell_angle_beta 92.80
_cell_angle_gamma 97.16
loop_
_space_group_symop_operation_xyz
'x,y,z'
'-x,-y,-z'
loop_
_atom_site_label
_atom_site_fract_x
_atom_site_fract_y
_atom_site_fract_z
_atom_site_occupancy
Pm1 0.000 0.000 0.000 1
Pm2 0.338 0.182 0.753 1
Y1 0.500 0.500 0.500 1
Er1 0.081 0.498 0.205 1
Er2 0.222 0.997 0.384 1
Er3 0.455 0.724 0.893 1

***

Entry 8:
# Pm3Y2Er7, relaxed, DFT PBE-GGA
# Energy relative to the lowest polymorph listed for this composition   0.003 eV per atom
data_Pm3Y2Er7
_chemical_formula_sum 'Pm3 Y2 Er7'
_space_group_name_H-M_alt 'P 1 2/m 1'
_space_group_IT_number 10
_cell_length_a 5.799
_cell_length_b 3.550
_cell_length_c 18.763
_cell_angle_alpha 90.00
_cell_angle_beta 93.07
_cell_angle_gamma 90.00
loop_
_space_group_symop_operation_xyz
'x,y,z'
'-x,-y,-z'
'-x,y,-z'
'x,-y,z'
loop_
_atom_site_label
_atom_site_fract_x
_atom_site_fract_y
_atom_site_fract_z
_atom_site_occupancy
Pm1 0.000 0.000 0.000 1
Pm2 0.277 0.500 0.632 1
Y1 0.211 0.000 0.292 1
Er1 0.191 0.500 0.142 1
Er2 0.243 0.000 0.462 1
Er3 0.306 0.000 0.825 1
Er4 0.500 0.500 0.000 1

***

Entry 9:
# Pm3Y5Er2, relaxed, DFT PBE-GGA
# Energy relative to the lowest polymorph listed for this composition   0.000 eV per atom
data_Pm3Y5Er2
_chemical_formula_sum 'Pm12 Y20 Er8'
_space_group_name_H-M_alt 'C 1 2/c 1'
_space_group_IT_number 15
_cell_length_a 10.777
_cell_length_b 16.080
_cell_length_c 9.381
_cell_angle_alpha 90.00
_cell_angle_beta 124.91
_cell_angle_gamma 90.00
loop_
_space_group_symop_operation_xyz
'x,y,z'
'-x,-y,-z'
'-x,y,-z+1/2'
'x,-y,z+1/2'
'x+1/2,y+1/2,z'
'-x+1/2,-y+1/2,-z'
'-x+1/2,y+1/2,-z+1/2'
'x+1/2,-y+1/2,z+1/2'
loop_
_atom_site_label
_atom_site_fract_x
_atom_site_fract_y
_atom_site_fract_z
_atom_site_occupancy
Pm1 0.000 0.230 0.250 1
Pm2 0.144 0.126 0.046 1
Y1 0.000 0.025 0.250 1
Y2 0.000 0.274 0.750 1
Y3 0.000 0.472 0.750 1
Y4 0.240 0.382 0.233 1
Er1 0.151 0.379 0.546 1

***

Entry 10:
# PmYEr4, relaxed, DFT PBE-GGA
# Energy relative to the lowest polymorph listed for this composition   0.013 eV per atom
data_PmYEr4
_chemical_formula_sum 'Pm1 Y1 Er4'
_space_group_name_H-M_alt 'P 1 2/m 1'
_space_group_IT_number 10
_cell_length_a 3.544
_cell_length_b 5.004
_cell_length_c 10.621
_cell_angle_alpha 90.00
_cell_angle_beta 90.29
_cell_angle_gamma 90.00
loop_
_space_group_symop_operation_xyz
'x,y,z'
'-x,-y,-z'
'-x,y,-z'
'x,-y,z'
loop_
_atom_site_label
_atom_site_fract_x
_atom_site_fract_y
_atom_site_fract_z
_atom_site_occupancy
Pm1 0.000 0.000 0.000 1
Y1 0.500 0.500 0.500 1
Er1 0.000 0.000 0.333 1
Er2 0.500 0.500 0.169 1

***

Entry 11:
# PmY6Er3, relaxed, DFT PBE-GGA
# Energy relative to the lowest polymorph listed for this composition   0.000 eV per atom
data_PmY6Er3
_chemical_formula_sum 'Pm4 Y24 Er12'
_space_group_name_H-M_alt 'C m c 21'
_space_group_IT_number 36
_cell_length_a 9.653
_cell_length_b 20.921
_cell_length_c 6.398
_cell_angle_alpha 90.00
_cell_angle_beta 90.00
_cell_angle_gamma 90.00
loop_
_space_group_symop_operation_xyz
'x,y,z'
'-x,-y,z+1/2'
'-x,y,z'
'x,-y,z+1/2'
'x+1/2,y+1/2,z'
'-x+1/2,-y+1/2,z+1/2'
'-x+1/2,y+1/2,z'
'x+1/2,-y+1/2,z+1/2'
loop_
_atom_site_label
_atom_site_fract_x
_atom_site_fract_y
_atom_site_fract_z
_atom_site_occupancy
Pm1 0.000 0.162 0.000 1
Y1 0.000 0.015 0.802 1
Y2 0.000 0.301 0.775 1
Y3 0.176 0.282 0.317 1
Y4 0.180 0.441 0.560 1
Er1 0.000 0.418 0.085 1
Er2 0.169 0.126 0.474 1

***

Entry 12:
Computed, not measured: a relaxed structure of Pm2Y5Er6 at the PBE-GGA level of DFT.

The structure in CIF format:
```
data_Pm2Y5Er6
_chemical_formula_sum 'Pm4 Y10 Er12'
_space_group_name_H-M_alt 'P b a m'
_space_group_IT_number 55
_cell_length_a 11.633
_cell_length_b 20.226
_cell_length_c 3.580
_cell_angle_alpha 90.00
_cell_angle_beta 90.00
_cell_angle_gamma 90.00
loop_
_space_group_symop_operation_xyz
'x,y,z'
'-x,-y,-z'
'-x,-y,z'
'x,y,-z'
'x+1/2,-y+1/2,-z'
'-x+1/2,y+1/2,z'
'-x+1/2,y+1/2,-z'
'x+1/2,-y+1/2,z'
loop_
_atom_site_label
_atom_site_fract_x
_atom_site_fract_y
_atom_site_fract_z
_atom_site_occupancy
Pm1 0.168 0.215 0.000 1
Y1 0.000 0.500 0.500 1
Y2 0.091 0.778 0.500 1
Y3 0.199 0.052 0.500 1
Er1 0.061 0.922 0.000 1
Er2 0.079 0.634 0.000 1
Er3 0.177 0.370 0.500 1
```

***

The calculation returns the following formation energy values, one per record and in order: 2.12 3.23 13.24 1.87 0.36 3.14 2.44 1.09 1.87 0.14 1.17 1.33 eV/f.u..
The calculation returns the following raw total energy values, one per record and in order: -4.923 -4.782 -4.062 -4.841 -6.002 -5.520 -4.565 -4.836 -5.382 -4.888 -5.605 -5.221 eV/atom.